VASP calculation (PBE) on a geometry-optimized Ce2Be4Si3Pd structure.

Calculated values
Crystal system: tetragonal
Uncorrected formation energy: -0.487 eV per atom
Calculated total energy: -5.310 eV/atom

abc: 3.9672 3.9672 9.5539
angles: 90.00 90.00 90.00
Last column: nearest neighbours and their distance in Å.
Atoms (fractional coordinates):
Ce1 0.5000 0.0000 0.2422  6 Si 3.00-3.16, 8 Be 3.05-3.06, 2 Pd 3.16
Ce2 0.0000 0.5000 0.7578  6 Si 3.00-3.16, 8 Be 3.05-3.06, 2 Pd 3.16
Be1 0.5000 0.5000 0.0000  4 Si 2.34
Be2 0.0000 0.0000 0.0000  4 Si 2.34
Be3 0.5000 0.0000 0.6303  3 Si 2.29-2.34, 2 Pd 2.34
Be4 0.0000 0.5000 0.3697  3 Si 2.29-2.34, 2 Pd 2.34
Si1 0.0000 0.0000 0.5000  4 Be 2.34
Si2 0.5000 0.0000 0.8705  5 Be 2.29-2.34
Si3 0.0000 0.5000 0.1295  5 Be 2.29-2.34
Pd1 0.5000 0.5000 0.5000  4 Be 2.34